Entry 1:
First-principles (GGA-PBE) data for crystalline TbZn at its relaxed geometry, as listed in OQMD via LeMat-Bulk.

Summary:
The calculation puts the energy relative to the elements at 0.62 eV per atom.

abc: 6.4538 6.4538 6.4538
angles: 90.00 90.00 90.00
With the nearest neighbours (Å) after each atom.
Space group F-43m (No. 216)
Inequivalent atoms, fractional coordinates:
Tb 0.0000 0.0000 0.0000 (multiplicity 4)  4 Zn 2.79
Zn 0.2500 0.2500 0.7500 (multiplicity 4)  4 Tb 2.79

***

Entry 2:
First-principles (GGA-PBE) data for crystalline TbZn at its relaxed geometry, as listed in OQMD via LeMat-Bulk.

Summary:
The calculation puts the energy relative to the elements at -0.22 eV per atom.

abc: 4.7980 9.2588 6.2334
angles: 90.00 90.00 90.00
With the nearest neighbours (Å) after each atom.
Space group Pmc2_1 (No. 26)
Inequivalent atoms, fractional coordinates:
Tb 0.0000 0.0302 0.0000 (multiplicity 2)  5 Zn 3.02-3.26, 2 Tb 3.17
Tb 0.0000 0.3502 0.6737 (multiplicity 2)  4 Zn 2.83-3.15
Tb 0.5000 0.2140 0.2889 (multiplicity 2)  4 Zn 2.81-3.10
Zn 0.0000 0.3449 0.1563 (multiplicity 2)  5 Tb 2.81-3.07, 2 Zn 2.92
Zn 0.5000 0.1368 0.7532 (multiplicity 2)  8 Tb 2.98-3.26, 1 Zn 3.30
Zn 0.5000 0.4655 0.9594 (multiplicity 2)  4 Zn 2.92-3.18, 6 Tb 3.10-3.23

***

What did the first record say?
First-principles (GGA-PBE) data for crystalline TbZn at its relaxed geometry, as listed in OQMD via LeMat-Bulk.

Summary:
The calculation puts the energy relative to the elements at 0.62 eV per atom.

abc: 6.4538 6.4538 6.4538
angles: 90.00 90.00 90.00
With the nearest neighbours (Å) after each atom.
Space group F-43m (No. 216)
Inequivalent atoms, fractional coordinates:
Tb 0.0000 0.0000 0.0000 (multiplicity 4)  4 Zn 2.79
Zn 0.2500 0.2500 0.7500 (multiplicity 4)  4 Tb 2.79